First-principles (PBE) data for a relaxed structure of Cu3Hg4, as listed in Alexandria.

Summary:
ΔE_f, meV per atom: 227
E, eV/atom: -1.70
Relative energy among the computed polymorphs, meV/atom: 42
ρ, Mg/m³: 12.7
Spin magnetization, μB/cell: 0.00

Cell and atoms, written as POSCAR:
```
Cu3Hg4
1.0
5.262 0.000 0.000
-2.631 4.557 0.000
0.000 0.000 5.401
Cu Hg
3 4
Direct
0.000 0.500 0.000
0.500 0.000 0.000
0.500 0.500 0.000
0.000 0.000 0.250
0.000 0.000 0.750
0.333 0.667 0.500
0.667 0.333 0.500
```